The following is a DFT calculation (GGA-PBE) of crystalline ZrNp at its relaxed geometry.

```
data_ZrNp
_symmetry_space_group_name_H-M 'P 1'
_symmetry_Int_Tables_number 1
_symmetry_space_group_name_Hall 'P 1'
_cell_length_a 4.875
_cell_length_b 9.101
_cell_length_c 5.832
_cell_angle_alpha 90.00
_cell_angle_beta 90.00
_cell_angle_gamma 90.00
loop_
_atom_site_label
_atom_site_type_symbol
_atom_site_fract_x
_atom_site_fract_y
_atom_site_fract_z
_atom_site_occupancy
Zr1 Zr 0.000 0.055 0.000 1
Zr2 Zr 0.000 0.945 0.500 1
Zr3 Zr 0.500 0.101 0.723 1
Zr4 Zr 0.500 0.428 0.761 1
Zr5 Zr 0.500 0.572 0.261 1
Zr6 Zr 0.500 0.899 0.223 1
Np1 Np 0.000 0.318 0.407 1
Np2 Np 0.000 0.414 0.019 1
Np3 Np 0.000 0.586 0.519 1
Np4 Np 0.000 0.682 0.907 1
Np5 Np 0.500 0.231 0.278 1
Np6 Np 0.500 0.769 0.778 1
```

Properties
Space-group type: Pmc2_1 (26)
Distance to the lowest polymorph of the same formula (eV per atom): 0.0545